1) # PBE-GGA Tm2TiNi, relaxed
data_Tm2TiNi
_chemical_formula_sum 'Tm2 Ti1 Ni1'
_symmetry_space_group_name_H-M 'P 4/m m m'
_symmetry_Int_Tables_number 123
_symmetry_space_group_name_Hall '-P 4 2'
_cell_length_a 3.350
_cell_length_b 3.350
_cell_length_c 7.387
_cell_angle_alpha 90.00
_cell_angle_beta 90.00
_cell_angle_gamma 90.00
loop_
_atom_site_label
_atom_site_fract_x
_atom_site_fract_y
_atom_site_fract_z
Tm1 0.000 0.000 0.220
Ti1 0.500 0.500 0.500
Ni1 0.500 0.500 0.000
# Calculated volume, Å³/atom: 20.73
# Size of the total moment, μB/atom: 0.00


2) # PBE-GGA Tm2TiNi, relaxed
data_Tm2TiNi
_chemical_formula_sum 'Tm6 Ti3 Ni3'
_symmetry_space_group_name_H-M 'R -3 m'
_symmetry_Int_Tables_number 166
_symmetry_space_group_name_Hall '-R 3 2"'
_cell_length_a 3.3156
_cell_length_b 3.3156
_cell_length_c 29.1065
_cell_angle_alpha 90.00
_cell_angle_beta 90.00
_cell_angle_gamma 120.00
loop_
_atom_site_label
_atom_site_fract_x
_atom_site_fract_y
_atom_site_fract_z
Tm1 0.0000 0.0000 0.1015
Ti1 0.0000 0.0000 0.0000
Ni1 0.0000 0.0000 0.5000
# Calculated volume, Å³/atom: 23.09
# Size of the total moment, μB/atom: 0.46


Energies in kJ/mol of atoms, measured from the most stable structure: 1) 0.0; 2) 39.2.


1) # PBE-GGA TmTiNi2, relaxed
data_TmTiNi2
_chemical_formula_sum 'Tm1 Ti1 Ni2'
_symmetry_space_group_name_H-M 'P 4/m m m'
_symmetry_Int_Tables_number 123
_symmetry_space_group_name_Hall '-P 4 2'
_cell_length_a 4.474
_cell_length_b 4.474
_cell_length_c 3.179
_cell_angle_alpha 90.00
_cell_angle_beta 90.00
_cell_angle_gamma 90.00
loop_
_atom_site_label
_atom_site_fract_x
_atom_site_fract_y
_atom_site_fract_z
Tm1 0.000 0.000 0.000
Ti1 0.500 0.500 0.000
Ni1 0.000 0.500 0.500
# Calculated volume, Å³/atom: 15.91
# Size of the total moment, μB/atom: 0.00


2) # PBE-GGA TmTiNi2, relaxed
data_TmTiNi2
_chemical_formula_sum 'Tm1 Ti1 Ni2'
_symmetry_space_group_name_H-M 'P 4/m m m'
_symmetry_Int_Tables_number 123
_symmetry_space_group_name_Hall '-P 4 2'
_cell_length_a 3.121
_cell_length_b 3.121
_cell_length_c 6.560
_cell_angle_alpha 90.00
_cell_angle_beta 90.00
_cell_angle_gamma 90.00
loop_
_atom_site_label
_atom_site_fract_x
_atom_site_fract_y
_atom_site_fract_z
Tm1 0.000 0.000 0.000
Ti1 0.000 0.000 0.500
Ni1 0.500 0.500 0.298
# Calculated volume, Å³/atom: 15.97
# Size of the total moment, μB/atom: 0.00


Energies in kJ/mol of atoms, measured from the most stable structure: 1) 8.7; 2) 0.0.


1) # PBE-GGA TmTiNi2, relaxed
data_TmTiNi2
_chemical_formula_sum 'Tm3 Ti3 Ni6'
_symmetry_space_group_name_H-M 'R -3 m'
_symmetry_Int_Tables_number 166
_symmetry_space_group_name_Hall '-R 3 2"'
_cell_length_a 4.1892
_cell_length_b 4.1892
_cell_length_c 13.4596
_cell_angle_alpha 90.00
_cell_angle_beta 90.00
_cell_angle_gamma 120.00
loop_
_atom_site_label
_atom_site_fract_x
_atom_site_fract_y
_atom_site_fract_z
Tm1 0.0000 0.0000 0.0000
Ti1 0.0000 0.0000 0.5000
Ni1 0.0000 0.0000 0.2075
# Calculated volume, Å³/atom: 17.05
# Size of the total moment, μB/atom: 0.00


2) # PBE-GGA TmTiNi2, relaxed
data_TmTiNi2
_chemical_formula_sum 'Tm4 Ti4 Ni8'
_symmetry_space_group_name_H-M 'F m -3 m'
_symmetry_Int_Tables_number 225
_symmetry_space_group_name_Hall '-F 4 2 3'
_cell_length_a 6.344
_cell_length_b 6.344
_cell_length_c 6.344
_cell_angle_alpha 90.00
_cell_angle_beta 90.00
_cell_angle_gamma 90.00
loop_
_atom_site_label
_atom_site_fract_x
_atom_site_fract_y
_atom_site_fract_z
Tm1 0.000 0.000 0.000
Ti1 0.000 0.000 0.500
Ni1 0.250 0.250 0.250
# Calculated volume, Å³/atom: 15.96
# Size of the total moment, μB/atom: 0.00


Energies in kJ/mol of atoms, measured from the most stable structure: 1) 0.0; 2) 8.6.


1) # PBE-GGA TiV2Ni2, relaxed
data_TiV2Ni2
_chemical_formula_sum 'Ti2 V4 Ni4'
_symmetry_space_group_name_H-M 'P 4/m b m'
_symmetry_Int_Tables_number 127
_symmetry_space_group_name_Hall '-P 4 2ab'
_cell_length_a 7.177
_cell_length_b 7.177
_cell_length_c 2.557
_cell_angle_alpha 90.00
_cell_angle_beta 90.00
_cell_angle_gamma 90.00
loop_
_atom_site_label
_atom_site_fract_x
_atom_site_fract_y
_atom_site_fract_z
Ti1 0.000 0.000 0.000
V1 0.164 0.336 0.000
Ni1 0.131 0.631 0.500
# Calculated volume, Å³/atom: 13.17
# Size of the total moment, μB/atom: 0.00


2) # PBE-GGA TiV2Ni2, relaxed
data_TiV2Ni2
_chemical_formula_sum 'Ti2 V4 Ni4'
_symmetry_space_group_name_H-M 'I 4/m m m'
_symmetry_Int_Tables_number 139
_symmetry_space_group_name_Hall '-I 4 2'
_cell_length_a 3.361
_cell_length_b 3.361
_cell_length_c 12.106
_cell_angle_alpha 90.00
_cell_angle_beta 90.00
_cell_angle_gamma 90.00
loop_
_atom_site_label
_atom_site_fract_x
_atom_site_fract_y
_atom_site_fract_z
Ti1 0.000 0.000 0.000
V1 0.000 0.500 0.250
Ni1 0.000 0.000 0.405
# Calculated volume, Å³/atom: 13.68
# Size of the total moment, μB/atom: 0.00


3) # PBE-GGA TiV2Ni2, relaxed
data_TiV2Ni2
_chemical_formula_sum 'Ti2 V4 Ni4'
_symmetry_space_group_name_H-M 'I 4/m m m'
_symmetry_Int_Tables_number 139
_symmetry_space_group_name_Hall '-I 4 2'
_cell_length_a 3.528
_cell_length_b 3.528
_cell_length_c 11.271
_cell_angle_alpha 90.00
_cell_angle_beta 90.00
_cell_angle_gamma 90.00
loop_
_atom_site_label
_atom_site_fract_x
_atom_site_fract_y
_atom_site_fract_z
Ti1 0.000 0.000 0.000
V1 0.000 0.000 0.396
Ni1 0.000 0.500 0.250
# Calculated volume, Å³/atom: 14.03
# Size of the total moment, μB/atom: 0.44


Energies in kJ/mol of atoms, measured from the most stable structure: 1) 0.0; 2) 7.8; 3) 20.8.


1) # PBE-GGA TiVNi, relaxed
data_TiVNi
_chemical_formula_sum 'Ti4 V4 Ni4'
_symmetry_space_group_name_H-M 'C m c m'
_symmetry_Int_Tables_number 63
_symmetry_space_group_name_Hall '-C 2c 2'
_cell_length_a 4.036
_cell_length_b 11.172
_cell_length_c 3.630
_cell_angle_alpha 90.00
_cell_angle_beta 90.00
_cell_angle_gamma 90.00
loop_
_atom_site_label
_atom_site_fract_x
_atom_site_fract_y
_atom_site_fract_z
Ti1 0.000 0.097 0.250
V1 0.000 0.418 0.250
Ni1 0.000 0.258 0.750
# Calculated volume, Å³/atom: 13.64
# Size of the total moment, μB/atom: 0.00


2) # PBE-GGA TiVNi, relaxed
data_TiVNi
_chemical_formula_sum 'Ti1 V1 Ni1'
_symmetry_space_group_name_H-M 'P 3 m 1'
_symmetry_Int_Tables_number 156
_symmetry_space_group_name_Hall 'P 3 -2"'
_cell_length_a 4.2740
_cell_length_b 4.2740
_cell_length_c 2.6118
_cell_angle_alpha 90.00
_cell_angle_beta 90.00
_cell_angle_gamma 120.00
loop_
_atom_site_label
_atom_site_fract_x
_atom_site_fract_y
_atom_site_fract_z
Ti1 0.0000 0.0000 0.0000
V1 0.3333 0.6667 0.3601
Ni1 0.6667 0.3333 0.6753
# Calculated volume, Å³/atom: 13.77
# Size of the total moment, μB/atom: 0.83


3) # PBE-GGA TiVNi, relaxed
data_TiVNi
_chemical_formula_sum 'Ti4 V4 Ni4'
_symmetry_space_group_name_H-M 'C m c m'
_symmetry_Int_Tables_number 63
_symmetry_space_group_name_Hall '-C 2c 2'
_cell_length_a 2.558
_cell_length_b 13.870
_cell_length_c 4.641
_cell_angle_alpha 90.00
_cell_angle_beta 90.00
_cell_angle_gamma 90.00
loop_
_atom_site_label
_atom_site_fract_x
_atom_site_fract_y
_atom_site_fract_z
Ti1 0.000 0.184 0.250
V1 0.000 0.000 0.000
Ni1 0.000 0.359 0.250
# Calculated volume, Å³/atom: 13.72
# Size of the total moment, μB/atom: 0.00


Energies in kJ/mol of atoms, measured from the most stable structure: 1) 0.0; 2) 17.6; 3) 8.6.


1) # PBE-GGA TiVNi6, relaxed
data_TiVNi6
_chemical_formula_sum 'Ti1 V1 Ni6'
_symmetry_space_group_name_H-M 'P -6 m 2'
_symmetry_Int_Tables_number 187
_symmetry_space_group_name_Hall 'P -6 2'
_cell_length_a 5.0519
_cell_length_b 5.0519
_cell_length_c 4.1632
_cell_angle_alpha 90.00
_cell_angle_beta 90.00
_cell_angle_gamma 120.00
loop_
_atom_site_label
_atom_site_fract_x
_atom_site_fract_y
_atom_site_fract_z
Ti1 0.0000 0.0000 0.0000
V1 0.3333 0.6667 0.5000
Ni1 0.3410 0.1705 0.5000
Ni2 0.5005 0.0011 0.0000
# Calculated volume, Å³/atom: 11.50
# Size of the total moment, μB/atom: 0.05


2) # PBE-GGA TiVNi6, relaxed
data_TiVNi6
_chemical_formula_sum 'Ti3 V3 Ni18'
_symmetry_space_group_name_H-M 'R -3 m'
_symmetry_Int_Tables_number 166
_symmetry_space_group_name_Hall '-R 3 2"'
_cell_length_a 6.4593
_cell_length_b 6.4593
_cell_length_c 8.9159
_cell_angle_alpha 90.00
_cell_angle_beta 90.00
_cell_angle_gamma 120.00
loop_
_atom_site_label
_atom_site_fract_x
_atom_site_fract_y
_atom_site_fract_z
Ti1 0.0000 0.0000 0.0000
V1 0.0000 0.0000 0.5000
Ni1 0.0860 0.5430 0.3803
# Calculated volume, Å³/atom: 13.42
# Size of the total moment, μB/atom: 0.00


Energies in kJ/mol of atoms, measured from the most stable structure: 1) 0.0; 2) 64.2.


1) # PBE-GGA TiVNi2, relaxed
data_TiVNi2
_chemical_formula_sum 'Ti1 V1 Ni2'
_symmetry_space_group_name_H-M 'P 4/m m m'
_symmetry_Int_Tables_number 123
_symmetry_space_group_name_Hall '-P 4 2'
_cell_length_a 3.674
_cell_length_b 3.674
_cell_length_c 3.740
_cell_angle_alpha 90.00
_cell_angle_beta 90.00
_cell_angle_gamma 90.00
loop_
_atom_site_label
_atom_site_fract_x
_atom_site_fract_y
_atom_site_fract_z
Ti1 0.000 0.000 0.000
V1 0.500 0.500 0.000
Ni1 0.000 0.500 0.500
# Calculated volume, Å³/atom: 12.62
# Size of the total moment, μB/atom: 0.00


2) # PBE-GGA TiVNi2, relaxed
data_TiVNi2
_chemical_formula_sum 'Ti1 V1 Ni2'
_symmetry_space_group_name_H-M 'P 4/m m m'
_symmetry_Int_Tables_number 123
_symmetry_space_group_name_Hall '-P 4 2'
_cell_length_a 2.606
_cell_length_b 2.606
_cell_length_c 7.423
_cell_angle_alpha 90.00
_cell_angle_beta 90.00
_cell_angle_gamma 90.00
loop_
_atom_site_label
_atom_site_fract_x
_atom_site_fract_y
_atom_site_fract_z
Ti1 0.000 0.000 0.000
V1 0.000 0.000 0.500
Ni1 0.500 0.500 0.257
# Calculated volume, Å³/atom: 12.61
# Size of the total moment, μB/atom: 0.00


3) # PBE-GGA TiVNi2, relaxed
data_TiVNi2
_chemical_formula_sum 'Ti4 V4 Ni8'
_symmetry_space_group_name_H-M 'I -4 2 d'
_symmetry_Int_Tables_number 122
_symmetry_space_group_name_Hall 'I -4 2bw'
_cell_length_a 6.584
_cell_length_b 6.584
_cell_length_c 4.975
_cell_angle_alpha 90.00
_cell_angle_beta 90.00
_cell_angle_gamma 90.00
loop_
_atom_site_label
_atom_site_fract_x
_atom_site_fract_y
_atom_site_fract_z
Ti1 0.000 0.000 0.000
V1 0.000 0.000 0.500
Ni1 0.236 0.250 0.625
# Calculated volume, Å³/atom: 13.48
# Size of the total moment, μB/atom: 0.00


Energies in kJ/mol of atoms, measured from the most stable structure: 1) 0.6; 2) 0.0; 3) 33.9.